## TbSmGdZn (PBE)

Data for a relaxed TbSmGdZn crystal.

a b c (Å): 5.3749 5.3749 5.3749
angles (deg): 60.00 60.00 60.00
Last column: nearest neighbours and their distance in Å.
Fractional coordinates of all 4 atoms:
Zn  0.0000  0.0000  0.0000  4 Tb 3.29, 4 Sm 3.29
Gd  0.5000  0.5000  0.5000  4 Sm 3.29, 4 Tb 3.29
Tb  0.7500  0.7500  0.7500  4 Zn 3.29, 4 Gd 3.29
Sm  0.2500  0.2500  0.2500  4 Zn 3.29, 4 Gd 3.29

Total energy, eV/f.u.: -24.55



## Na2GaCuH (PBE)

Data for a relaxed Na2GaCuH crystal.

a b c (Å): 5.4659 4.5372 5.4659
angles (deg): 90.00 90.00 90.00
Last column: nearest neighbours and their distance in Å.
Fractional coordinates of all 5 atoms:
Na  0.0000  0.0000  0.5000  2 Cu 2.73
Na  0.5000  0.0000  0.0000  2 Cu 2.73
Cu  0.0000  0.0000  0.0000  2 Ga 2.27
Ga  0.0000  0.5000  0.0000  2 Cu 2.27
H  0.5000  0.5000  0.5000  8 Na 3.55, 4 Ga 3.86

Total energy, eV/f.u.: -10.84



## AsSeS2Cl (PBE)

Data for a relaxed AsSeS2Cl crystal.

a b c (Å): 4.8733 4.8733 4.7050
angles (deg): 90.00 90.00 90.00
Last column: nearest neighbours and their distance in Å.
Fractional coordinates of all 5 atoms:
As  0.0000  0.0000  0.0000  2 Cl 2.35, 4 S 2.44
S  0.0000  0.5000  0.0000  2 As 2.44
S  0.5000  0.0000  0.0000  2 As 2.44
Se  0.5000  0.5000  0.5000  8 S 3.39, 4 Cl 3.45
Cl  0.0000  0.0000  0.5000  2 As 2.35

E_form (uncorrected), kJ per mole of atoms: 57.1
ΔE to the lowest computed polymorph, eV/atom: 0.000



## La3BiTe2 (PBE)

Data for a relaxed La3BiTe2 crystal.

a b c (Å): 6.5333 6.5346 10.3461
angles (deg): 108.41 90.00 90.00
Last column: nearest neighbours and their distance in Å.
Fractional coordinates of all 12 atoms:
La  0.5000  0.3327  0.6654  2 Bi 3.27, 4 Te 3.27-3.28
La  0.0000  0.8335  0.6671  3 Te 3.27, 3 Bi 3.27-3.28
La  0.5000  0.6673  0.3346  2 Bi 3.27, 4 Te 3.27-3.28
La  0.0000  0.1665  0.3329  3 Te 3.27, 3 Bi 3.27-3.28
La  0.0000  0.5000  0.0000  4 Te 3.27, 2 Bi 3.27
La  0.5000  0.0000  0.0000  6 Te 3.26-3.27
Bi  0.0000  0.3336  0.6671  6 La 3.27-3.28
Bi  0.0000  0.6664  0.3329  6 La 3.27-3.28
Te  0.5000  0.8337  0.6675  6 La 3.26-3.27
Te  0.5000  0.1663  0.3325  6 La 3.26-3.27
Te  0.0000  0.0000  0.0000  6 La 3.27
Te  0.5000  0.5000  0.0000  6 La 3.27-3.28

E_form (uncorrected), kJ per mole of atoms: -138.4



## CoRuPb2 (PBE)

Data for a relaxed CoRuPb2 crystal.

a b c (Å): 7.4740 4.7274 3.2904
angles (deg): 90.27 63.50 129.43
Last column: nearest neighbours and their distance in Å.
Fractional coordinates of all 4 atoms:
Co  0.5000  0.5000  0.0000  8 Pb 2.87-2.89
Pb  0.0000  0.0000  0.0000  4 Co 2.87-2.89, 4 Ru 2.87-2.89
Pb  0.5000  0.0000  0.5000  4 Ru 2.87-2.89, 4 Co 2.87-2.89
Ru  0.0000  0.5000  0.5000  8 Pb 2.87-2.89

ΔE to the lowest computed polymorph, eV/atom: 0.201



## Th8Ga2Os (PBE)

Data for a relaxed Th8Ga2Os crystal.

a b c (Å): 4.5531 7.8217 9.3252
angles (deg): 96.15 104.13 90.00
Last column: nearest neighbours and their distance in Å.
Fractional coordinates of all 11 atoms:
Th  0.4034  0.4909  0.8069  2 Ga 3.21, 6 Th 3.43-3.50
Th  0.6545  0.0153  0.3089  1 Os 2.78
Th  0.7871  0.6516  0.5743  3 Ga 3.14-3.25, 5 Th 3.43-3.50
Th  0.0020  0.2302  0.0040  2 Os 2.90
Th  0.2129  0.3484  0.4257  3 Ga 3.14-3.25, 5 Th 3.43-3.50
Th  0.3455  0.9847  0.6911  1 Os 2.78
Th  0.5966  0.5091  0.1931  2 Ga 3.21, 6 Th 3.43-3.50
Th  0.9980  0.7698  0.9960  2 Os 2.90
Ga  0.8203  0.2518  0.6407  9 Th 3.14-3.35
Ga  0.1797  0.7482  0.3593  9 Th 3.14-3.35
Os  0.5000  0.0000  0.0000  6 Th 2.78-2.90

Total energy, eV/f.u.: -78.62



## Ga2CuSb2 (PBE)

Data for a relaxed Ga2CuSb2 crystal.

a b c (Å): 7.4522 7.4522 4.2341
angles (deg): 90.00 90.00 90.00
Last column: nearest neighbours and their distance in Å.
Fractional coordinates of all 10 atoms:
Sb  0.3012  0.8012  0.0000  2 Cu 2.69, 2 Ga 2.82
Sb  0.8012  0.6988  0.0000  2 Cu 2.69, 2 Ga 2.82
Sb  0.6988  0.1988  0.0000  2 Cu 2.69, 2 Ga 2.82
Sb  0.1988  0.3012  0.0000  2 Cu 2.69, 2 Ga 2.82
Cu  0.0000  0.0000  0.0000  4 Sb 2.69
Cu  0.5000  0.5000  0.0000  4 Sb 2.69
Ga  0.1238  0.6238  0.5000  1 Ga 2.61, 2 Sb 2.82
Ga  0.6238  0.8762  0.5000  1 Ga 2.61, 2 Sb 2.82
Ga  0.8762  0.3762  0.5000  1 Ga 2.61, 2 Sb 2.82
Ga  0.3762  0.1238  0.5000  1 Ga 2.61, 2 Sb 2.82

E_form (uncorrected), kJ per mole of atoms: 19.5
ΔE to the lowest computed polymorph, eV/atom: 0.009



## Zr2ZnAuS (PBE)

Data for a relaxed Zr2ZnAuS crystal.

a b c (Å): 4.8114 4.8114 4.6705
angles (deg): 90.00 90.00 90.00
Last column: nearest neighbours and their distance in Å.
Fractional coordinates of all 5 atoms:
Zn  0.5000  0.5000  0.5000  8 Zr 3.35, 4 Au 3.40
Au  0.0000  0.0000  0.5000  2 S 2.34
S  0.0000  0.0000  0.0000  2 Au 2.34, 4 Zr 2.41
Zr  0.0000  0.5000  0.0000  2 S 2.41
Zr  0.5000  0.0000  0.0000  2 S 2.41

E_form (uncorrected), kJ per mole of atoms: -13.8



## SrCd4In8 (PBE)

Data for a relaxed SrCd4In8 crystal.

a b c (Å): 7.3825 7.3825 7.3825
angles (deg): 85.10 85.10 85.10
Last column: nearest neighbours and their distance in Å.
Fractional coordinates of all 13 atoms:
Sr  0.0000  0.0000  0.0000  8 In 3.27-3.42
Cd  0.5000  0.5000  0.5000  6 In 2.96
Cd  0.5000  0.5000  0.0000  8 In 3.12-3.21
Cd  0.0000  0.5000  0.5000  8 In 3.12-3.21
Cd  0.5000  0.0000  0.5000  8 In 3.12-3.21
In  0.7602  0.2718  0.2718  4 Cd 2.96-3.21, 1 Sr 3.27
In  0.2718  0.2718  0.7602  4 Cd 2.96-3.21, 1 Sr 3.27
In  0.2718  0.7602  0.2718  4 Cd 2.96-3.21, 1 Sr 3.27
In  0.2471  0.2471  0.2471  3 Cd 3.12, 1 Sr 3.42
In  0.7529  0.7529  0.7529  3 Cd 3.12, 1 Sr 3.42
In  0.7282  0.7282  0.2398  4 Cd 2.96-3.21, 1 Sr 3.27
In  0.7282  0.2398  0.7282  4 Cd 2.96-3.21, 1 Sr 3.27
In  0.2398  0.7282  0.7282  4 Cd 2.96-3.21, 1 Sr 3.27

Total energy, eV/f.u.: -26.50



## Li3La (PBE)

Data for a relaxed Li3La crystal.

a b c (Å): 3.3226 3.3226 10.7712
angles (deg): 90.00 90.00 120.00
Last column: nearest neighbours and their distance in Å.
Fractional coordinates of all 4 atoms:
Li  0.0000  0.0000  0.5000  12 Li 3.09-3.32
Li  0.6667  0.3333  0.2751  9 Li 3.09-3.32
Li  0.6667  0.3333  0.7249  9 Li 3.09-3.32
La  0.0000  0.0000  0.0000  6 La 3.32, 6 Li 3.53

ΔE to the lowest computed polymorph, eV/atom: 0.070



## Ac2Nd3Y7 (PBE)

Data for a relaxed Ac2Nd3Y7 crystal.

a b c (Å): 3.6329 6.5267 17.8251
angles (deg): 89.71 90.00 90.00
Last column: nearest neighbours and their distance in Å.
Fractional coordinates of all 12 atoms:
Ac  0.5000  0.4983  0.3251  5 Y 3.53-3.64, 2 Ac 3.63, 4 Nd 3.71-3.77
Ac  0.5000  0.5017  0.6749  5 Y 3.53-3.64, 2 Ac 3.63, 4 Nd 3.71-3.77
Nd  0.5000  0.5000  0.0000  10 Y 3.58-3.73, 2 Nd 3.63
Nd  0.0000  0.9926  0.3382  2 Nd 3.63, 7 Y 3.70-3.81, 4 Ac 3.71-3.77
Nd  0.0000  0.0074  0.6618  2 Nd 3.63, 7 Y 3.70-3.81, 4 Ac 3.71-3.77
Y  0.5000  0.2412  0.5021  2 Y 3.15-3.38, 1 Ac 3.53
Y  0.5000  0.7588  0.4979  2 Y 3.15-3.38, 1 Ac 3.53
Y  0.0000  0.6753  0.1602  7 Y 3.55-3.77, 3 Nd 3.58-3.80, 2 Ac 3.64
Y  0.0000  0.0000  0.0000  8 Y 3.55-3.63, 4 Nd 3.73
Y  0.0000  0.3247  0.8398  7 Y 3.55-3.77, 3 Nd 3.58-3.80, 2 Ac 3.64
Y  0.5000  0.8306  0.8382  8 Y 3.59-3.77, 3 Nd 3.59-3.81, 1 Ac 3.63
Y  0.5000  0.1694  0.1618  8 Y 3.59-3.77, 3 Nd 3.59-3.81, 1 Ac 3.63

Total energy, eV/f.u.: -66.55



## LiPuGaGe (PBE)

Data for a relaxed LiPuGaGe crystal.

a b c (Å): 4.7792 4.7792 4.7792
angles (deg): 60.00 60.00 60.00
Last column: nearest neighbours and their distance in Å.
Fractional coordinates of all 4 atoms:
Ge  0.2500  0.2500  0.2500  4 Pu 2.93, 4 Ga 2.93
Li  0.7500  0.7500  0.7500  4 Pu 2.93, 4 Ga 2.93
Ga  0.5000  0.5000  0.5000  4 Li 2.93, 4 Ge 2.93
Pu  0.0000  0.0000  0.0000  4 Ge 2.93, 4 Li 2.93

Total energy, eV/f.u.: -24.38



## ReSbO2F (PBE)

Data for a relaxed ReSbO2F crystal.

a b c (Å): 3.7479 3.7479 6.2191
angles (deg): 90.00 90.00 90.00
Last column: nearest neighbours and their distance in Å.
Fractional coordinates of all 5 atoms:
Re  0.0000  0.0000  0.0000  4 O 1.87
F  0.0000  0.0000  0.5000  4 Sb 2.65
O  0.0000  0.5000  0.0000  2 Re 1.87
O  0.5000  0.0000  0.0000  2 Re 1.87
Sb  0.5000  0.5000  0.5000  4 F 2.65

E_form (uncorrected), kJ per mole of atoms: -73.2



## ScCrTePt2 (PBE)

Data for a relaxed ScCrTePt2 crystal.

a b c (Å): 4.9799 4.8142 4.9799
angles (deg): 90.00 90.00 90.00
Last column: nearest neighbours and their distance in Å.
Fractional coordinates of all 5 atoms:
Sc  0.5000  0.5000  0.5000  8 Pt 3.46, 4 Cr 3.52
Cr  0.0000  0.5000  0.0000  2 Te 2.41
Te  0.0000  0.0000  0.0000  2 Cr 2.41, 4 Pt 2.49
Pt  0.0000  0.0000  0.5000  2 Te 2.49
Pt  0.5000  0.0000  0.0000  2 Te 2.49

E_form (uncorrected), kJ per mole of atoms: 47.2



## CsAl2TlF8 (PBE)

Data for a relaxed CsAl2TlF8 crystal.

a b c (Å): 6.0380 6.0380 8.6217
angles (deg): 69.50 69.50 60.00
Last column: nearest neighbours and their distance in Å.
Fractional coordinates of all 12 atoms:
Cs  0.5000  0.5000  0.5000  12 F 3.18-3.49
Al  0.2454  0.2454  0.2638  4 F 1.70
Al  0.7546  0.7546  0.7362  4 F 1.70
Tl  0.0000  0.0000  0.0000  6 F 2.87
F  0.1735  0.1735  0.4794  1 Al 1.70
F  0.5121  0.3098  0.1960  1 Al 1.70
F  0.8265  0.8265  0.5206  1 Al 1.70
F  0.9821  0.5121  0.1960  1 Al 1.70
F  0.0179  0.4879  0.8040  1 Al 1.70
F  0.3098  0.9821  0.1960  1 Al 1.70
F  0.6902  0.0179  0.8040  1 Al 1.70
F  0.4879  0.6902  0.8040  1 Al 1.70

E_form (uncorrected), kJ per mole of atoms: -301.8



## Zn3PdPt6 (PBE)

Data for a relaxed Zn3PdPt6 crystal.

a b c (Å): 4.5255 7.3574 9.9141
angles (deg): 113.48 90.00 90.00
Last column: nearest neighbours and their distance in Å.
Fractional coordinates of all 20 atoms:
Zn  0.2500  0.5710  0.3773  9 Pt 2.69-2.91, 1 Pd 2.76, 2 Zn 2.85
Zn  0.7500  0.4290  0.6227  9 Pt 2.69-2.91, 1 Pd 2.76, 2 Zn 2.85
Zn  0.2500  0.3577  0.7695  8 Pt 2.68-2.82, 1 Pd 2.78, 3 Zn 2.85-2.87
Zn  0.7500  0.6423  0.2305  8 Pt 2.68-2.82, 1 Pd 2.78, 3 Zn 2.85-2.87
Zn  0.2500  0.7655  0.9725  11 Pt 2.69-2.80, 1 Zn 2.87
Zn  0.7500  0.2345  0.0275  11 Pt 2.69-2.80, 1 Zn 2.87
Pd  0.2500  0.9653  0.5683  8 Pt 2.75-2.88, 2 Zn 2.76-2.78, 2 Pd 2.79
Pd  0.7500  0.0347  0.4317  8 Pt 2.75-2.88, 2 Zn 2.76-2.78, 2 Pd 2.79
Pt  0.2500  0.4674  0.0744  5 Pt 2.74-2.85, 7 Zn 2.75-2.80
Pt  0.7500  0.5326  0.9256  5 Pt 2.74-2.85, 7 Zn 2.75-2.80
Pt  0.2500  0.1604  0.1648  8 Pt 2.74-2.77, 4 Zn 2.77-2.91
Pt  0.7500  0.8396  0.8352  8 Pt 2.74-2.77, 4 Zn 2.77-2.91
Pt  0.2500  0.6581  0.6791  5 Zn 2.69-2.80, 6 Pt 2.77-2.84, 1 Pd 2.88
Pt  0.7500  0.3419  0.3209  5 Zn 2.69-2.80, 6 Pt 2.77-2.84, 1 Pd 2.88
Pt  0.2500  0.2697  0.4652  4 Zn 2.69-2.82, 5 Pt 2.76-2.86, 3 Pd 2.79-2.81
Pt  0.7500  0.7303  0.5348  4 Zn 2.69-2.82, 5 Pt 2.76-2.86, 3 Pd 2.79-2.81
Pt  0.2500  0.8612  0.2682  4 Zn 2.72-2.75, 3 Pd 2.76-2.78, 5 Pt 2.77-2.86
Pt  0.7500  0.1388  0.7318  4 Zn 2.72-2.75, 3 Pd 2.76-2.78, 5 Pt 2.77-2.86
Pt  0.2500  0.0656  0.8665  4 Zn 2.68-2.80, 1 Pd 2.75, 7 Pt 2.75-2.85
Pt  0.7500  0.9344  0.1335  4 Zn 2.68-2.80, 1 Pd 2.75, 7 Pt 2.75-2.85

Total energy, eV/f.u.: -48.52